# 1
A plane-wave DFT calculation with PBE was carried out for LaMn2CrP after structural relaxation.

The structure belongs to space group P4/mmm (No. 123); the cell edges are 4.716, 4.716 and 4.903 Å and the angles 90.00°, 90.00° and 90.00°. The asymmetric unit holds La at (0.000, 0.000, 0.000), Mn at (0.000, 0.500, 0.000), Cr at (0.000, 0.000, 0.500) and P at (0.500, 0.500, 0.500).

Its volume is 109 Å³ per cell. The energy of formation is 1915 meV per atom.

---

# 2
A plane-wave DFT calculation with PBE was carried out for La2MnCrP after structural relaxation.

The structure belongs to space group P4/mmm (No. 123); the cell edges are 5.600, 5.600 and 4.321 Å and the angles 90.00°, 90.00° and 90.00°. The asymmetric unit holds La at (0.000, 0.500, 0.000), Mn at (0.000, 0.000, 0.500), Cr at (0.500, 0.500, 0.500) and P at (0.500, 0.500, 0.000).

Its volume is 136 Å³ per cell. The energy of formation is 422 meV per atom.

---

# 3
A plane-wave DFT calculation with PBE was carried out for LaMnCrRe2 after structural relaxation.

The structure belongs to space group P4/mmm (No. 123); the cell edges are 4.505, 4.505 and 4.921 Å and the angles 90.00°, 90.00° and 90.00°. The asymmetric unit holds La at (0.000, 0.000, 0.000), Mn at (0.500, 0.500, 0.000), Cr at (0.000, 0.000, 0.500) and Re at (0.000, 0.500, 0.500).

Its volume is 100 Å³ per cell. The energy of formation is 1654 meV per atom.

---

# 4
A plane-wave DFT calculation with PBE was carried out for LaMnCr2Rh after structural relaxation.

The structure belongs to space group P4/mmm (No. 123); the cell edges are 4.381, 4.381 and 4.928 Å and the angles 90.00°, 90.00° and 90.00°. The asymmetric unit holds La at (0.000, 0.000, 0.000), Mn at (0.500, 0.500, 0.500), Cr at (0.000, 0.500, 0.500) and Rh at (0.500, 0.500, 0.000).

Its volume is 95 Å³ per cell. The energy of formation is 342 meV per atom.

---

# 5
A plane-wave DFT calculation with PBE was carried out for LaMnCrSe2 after structural relaxation.

The structure belongs to space group P4/mmm (No. 123); the cell edges are 4.799, 4.799 and 4.904 Å and the angles 90.00°, 90.00° and 90.00°. The asymmetric unit holds La at (0.000, 0.000, 0.000), Mn at (0.500, 0.500, 0.000), Cr at (0.000, 0.000, 0.500) and Se at (0.000, 0.500, 0.500).

Its volume is 113 Å³ per cell. The formation energy from raw total energies is 0.614 eV per atom.

---

# 6
A plane-wave DFT calculation with PBE was carried out for La2MnCrTc after structural relaxation.

The structure belongs to space group P4/mmm (No. 123); the cell edges are 5.492, 5.492 and 4.670 Å and the angles 90.00°, 90.00° and 90.00°. The asymmetric unit holds La at (0.000, 0.500, 0.000), Mn at (0.000, 0.000, 0.500), Cr at (0.500, 0.500, 0.500) and Tc at (0.500, 0.500, 0.000).

Its volume is 141 Å³ per cell. The energy of formation is 629 meV per atom.